[1]
Tb4Ga3Co, optimized geometry, DFT PBE; calculated density = 8.15 Mg/m³; size of the total moment = 0.00 μB/cell; energy of formation from the pure elements = -489 meV per atom
1.0
-1.1427 -2.3188 2.9795
-0.9744 -3.1075 -2.7921
10.1219 -3.9203 0.8310
Tb Ga Co
4 3 1
Cartesian
2.3691 -4.0407 0.3751
8.3574 -4.9794 -0.6700
1.4086 -0.5456 0.1156
6.0201 -3.7123 2.0309
5.3253 -3.8050 -0.9189
4.3038 -1.6669 0.3533
8.8902 -4.8240 2.2665
-0.4211 -2.9600 0.1460

=====

[2]
Tb6Ga3Co, optimized geometry, DFT PBE; calculated density = 8.26 Mg/m³; size of the total moment = 0.00 μB/cell; energy of formation from the pure elements = -339 meV per atom
1.0
-0.1919 -0.2677 5.0564
7.3195 -4.7073 0.0286
6.0128 9.3536 0.7226
Tb Ga Co
12 6 2
Cartesian
6.5836 7.7052 3.1932
4.6880 4.4029 2.9478
5.0857 -0.0444 2.7269
8.0546 4.4229 3.0807
8.4523 -0.0244 2.8598
6.5568 -3.3267 2.6143
4.8200 2.0335 5.3654
2.6029 -1.0618 5.1186
4.4051 6.8080 5.6024
8.7352 -2.4295 0.2052
10.5374 5.4403 0.6889
8.3204 2.3450 0.4422
10.5324 2.9051 3.0896
3.5638 -2.4875 2.5425
2.6080 1.4734 2.7180
6.1343 -1.0725 5.2514
3.0064 4.6768 0.3613
7.0061 5.4510 0.5562
6.5702 2.1893 2.9038
0.0000 0.0000 0.0000

=====

[3]
Tb3Ga3Co, optimized geometry, DFT PBE; calculated density = 8.15 Mg/m³; size of the total moment = 0.00 μB/cell; energy of formation from the pure elements = -547 meV per atom
1.0
3.8838 0.0000 0.5850
1.8967 5.5168 0.5925
-0.1465 0.3299 14.1566
Tb Ga Co
6 6 2
Cartesian
2.5884 2.0486 9.1848
3.0457 3.7982 6.1493
1.4262 1.3810 3.7161
4.2079 4.4658 11.6180
1.9464 2.0150 13.4467
3.6877 3.8317 1.8874
4.6649 4.5545 8.5838
0.9692 1.2922 6.7503
1.9143 5.0775 13.6602
3.7198 0.7692 1.6738
5.3042 4.5897 4.3402
0.3299 1.2571 10.9939
3.0870 0.5102 5.8751
2.5471 5.3366 9.4590

=====

[4]
Tb4Ga2Co, optimized geometry, DFT PBE; calculated density = 7.94 Mg/m³; size of the total moment = 0.00 μB/cell; energy of formation from the pure elements = -291 meV per atom
1.0
-0.6869 2.5745 2.6788
-5.9797 -0.7832 -0.7805
3.3795 -6.3663 4.3204
Tb Ga Co
4 2 1
Cartesian
0.6053 -3.1028 5.8018
-3.8924 -1.4722 0.4168
-1.1815 -0.2081 2.5617
-2.1056 -4.3669 3.6570
-3.8461 -1.7890 3.3978
0.5590 -2.7860 2.8209
0.0000 0.0000 0.0000

=====

[5]
TbGa5Co, optimized geometry, DFT PBE; calculated density = 7.69 Mg/m³; size of the total moment = 0.00 μB/cell; energy of formation from the pure elements = -467 meV per atom
1.0
-3.7659 -1.1009 -1.5628
-1.4387 -0.6412 3.9186
-2.0433 6.5363 0.3194
Tb Ga Co
1 5 1
Cartesian
0.0000 0.0000 0.0000
-1.3551 1.7129 2.0586
-2.1269 4.1821 2.1793
-2.5187 1.4831 -0.6820
-3.2905 3.9523 -0.5614
-2.6023 -0.8710 1.1779
-1.0216 3.2681 0.1597

=====

[6]
TbGa2Co5, optimized geometry, DFT PBE; calculated density = 8.57 Mg/m³; size of the total moment = 5.35 μB/cell; energy of formation from the pure elements = -122 meV per atom
1.0
-3.5190 0.9975 -0.1530
-2.7762 -3.6779 -3.9236
-3.2502 -4.3348 2.6970
Tb Ga Co
1 2 5
Cartesian
0.0000 0.0000 0.0000
-7.1623 -5.2730 -1.0360
-2.3831 -1.7422 -0.3435
-3.0132 -4.0063 -0.6133
-4.3696 -2.2491 -1.7558
-5.1758 -4.7661 0.3763
-5.0037 -4.5276 -2.0273
-4.5417 -2.4876 0.6478